The following is a PBE calculation of crystalline La3TbIr8 at its relaxed geometry, from Alexandria.

Structure (extended XYZ):
```
12
Lattice="-3.967 -1.077 3.579 0.664 -3.941 3.706 2.395 4.231 8.080" Properties=species:S:1:pos:R:3 pbc="T T T"
Ir -0.985 -1.384 4.724
Ir 0.426 0.906 4.898
Ir -1.460 -1.812 12.361
Ir -2.965 -1.921 6.509
Ir 0.517 -1.277 10.578
Ir -0.026 0.516 12.583
Ir -0.653 -3.350 6.572
Ir -1.791 0.151 10.515
La -0.453 -0.393 7.684
La 0.856 1.819 9.802
La -3.302 -5.016 7.286
Tb -1.991 -2.802 9.406
```

The magnetization comes out at 0.00 μB per atom. The energy relative to the elements is -734 meV/atom. The value obtained for the total energy is -8.259 eV per atom.